1.
The following is a GGA-PBE calculation of Sm3CdIn3 after structural relaxation, from the Alexandria database.

Output
**Energy of formation**: -0.430 eV per atom
**Symmetry**: No. 12

Unit cell a=4.7886 b=6.2668 c=14.6128 alpha=82.95 beta=80.57 gamma=67.54
With the nearest neighbours (Å) after each atom.
Positions (direct):
Sm (0.5370, 0.3081, 0.6180)  6 In 3.27-3.43, 4 Cd 3.34-3.60
Sm (0.4630, 0.6919, 0.3820)  6 In 3.27-3.43, 4 Cd 3.34-3.60
Sm (0.2667, 0.2485, 0.2181)  6 In 3.24-3.49, 2 Cd 3.51
Sm (0.7333, 0.7515, 0.7819)  6 In 3.24-3.49, 2 Cd 3.51
Sm (0.4009, 0.2782, 0.9201)  7 In 3.24-3.51
Sm (0.5991, 0.7218, 0.0799)  7 In 3.24-3.51
Cd (0.7592, 0.0924, 0.3892)  4 In 2.82-3.11
Cd (0.2408, 0.9076, 0.6108)  4 In 2.82-3.11
In (0.8709, 0.7077, 0.5505)  3 Cd 2.82-3.11, 1 In 2.89
In (0.1291, 0.2923, 0.4495)  3 Cd 2.82-3.11, 1 In 2.89
In (0.1185, 0.8353, 0.9278)  2 In 2.92-2.98, 3 Sm 3.24
In (0.8815, 0.1647, 0.0722)  2 In 2.92-2.98, 3 Sm 3.24
In (0.9800, 0.8086, 0.2315)  1 Cd 2.89, 1 In 2.98
In (0.0200, 0.1914, 0.7685)  1 Cd 2.89, 1 In 2.98

---

2.
The following is a GGA-PBE calculation of SmYRhPb after structural relaxation, from the Alexandria database.

Output
**Energy of formation**: -0.500 eV per atom
**Symmetry**: No. 216

Unit cell a=5.2054 b=5.2054 c=5.2054 alpha=60.00 beta=60.00 gamma=60.00
With the nearest neighbours (Å) after each atom.
Positions (direct):
Pb (0.7500, 0.7500, 0.7500)  4 Sm 3.19, 4 Y 3.19
Y (0.5000, 0.5000, 0.5000)  4 Pb 3.19, 4 Rh 3.19
Rh (0.2500, 0.2500, 0.2500)  4 Y 3.19, 4 Sm 3.19
Sm (0.0000, 0.0000, 0.0000)  4 Pb 3.19, 4 Rh 3.19

---

3.
The following is a GGA-PBE calculation of PrHo2Hg8 after structural relaxation, from the Alexandria database.

Output
**Energy of formation**: -0.307 eV per atom
**Symmetry**: No. 12

Unit cell a=5.1082 b=7.4945 c=8.6198 alpha=115.84 beta=107.24 gamma=90.00
With the nearest neighbours (Å) after each atom.
Positions (direct):
Pr (0.5000, 0.0000, 0.0000)  12 Hg 3.11-3.44
Ho (0.1918, 0.6926, 0.3836)  10 Hg 3.06-3.38
Ho (0.8082, 0.3074, 0.6164)  10 Hg 3.06-3.38
Hg (0.6519, 0.8625, 0.3038)  3 Ho 3.06-3.15, 1 Pr 3.11, 6 Hg 3.16-3.39
Hg (0.3472, 0.5584, 0.6943)  3 Ho 3.06-3.15, 1 Pr 3.11, 6 Hg 3.16-3.39
Hg (0.1568, 0.1562, 0.3136)  8 Hg 3.20-3.35, 2 Ho 3.38, 2 Pr 3.44
Hg (0.0003, 0.2970, 0.0006)  7 Hg 3.05-3.39, 2 Ho 3.19-3.20, 2 Pr 3.39
Hg (0.8432, 0.8438, 0.6864)  8 Hg 3.20-3.35, 2 Ho 3.38, 2 Pr 3.44
Hg (0.6528, 0.4416, 0.3057)  3 Ho 3.06-3.15, 1 Pr 3.11, 6 Hg 3.16-3.39
Hg (0.3481, 0.1375, 0.6962)  3 Ho 3.06-3.15, 1 Pr 3.11, 6 Hg 3.16-3.39
Hg (0.9997, 0.7030, 0.9994)  7 Hg 3.05-3.39, 2 Ho 3.19-3.20, 2 Pr 3.39

---

4.
The following is a GGA-PBE calculation of Ta2Re2SnSe8 after structural relaxation, from the Alexandria database.

Output
**Symmetry**: No. 156
**E_form (uncorrected)**: -38 kJ per mole of atoms

Unit cell a=3.4416 b=3.4416 c=28.5462 alpha=90.00 beta=90.00 gamma=120.00
With the nearest neighbours (Å) after each atom.
Positions (direct):
Ta (0.3333, 0.6667, 0.4111)  6 Se 2.60-2.61
Ta (0.3333, 0.6667, 0.8620)  6 Se 2.60
Re (0.3333, 0.6667, 0.0892)  6 Se 2.53-2.56
Re (0.3333, 0.6667, 0.6348)  6 Se 2.53
Sn (0.3333, 0.6667, 0.2579)  3 Se 3.33, 6 Sn 3.44
Se (0.6667, 0.3333, 0.3516)  3 Ta 2.61
Se (0.6667, 0.3333, 0.8030)  3 Ta 2.60
Se (0.0000, 0.0000, 0.1456)  3 Re 2.56
Se (0.0000, 0.0000, 0.6897)  3 Re 2.53
Se (0.0000, 0.0000, 0.0346)  3 Re 2.53
Se (0.0000, 0.0000, 0.5798)  3 Re 2.53
Se (0.6667, 0.3333, 0.4698)  3 Ta 2.60
Se (0.6667, 0.3333, 0.9209)  3 Ta 2.60

---

no.,electronic total energy (eV per atom)
1,-3.756
2,-6.060
3,-1.793
4,-6.588